BaSrNiF6, optimized geometry, DFT PBE+U; DFT total energy = -5.21 eV/atom; DOS at the Fermi energy = 0.000 states/eV per cell; magnetization = 1.93 μB/f.u.
1.0
5.924 0.000 0.000
-2.962 5.130 0.000
0.000 0.000 10.839
Ba Sr Ni F
2 2 2 12
direct
0.000 0.000 0.000
0.000 0.000 0.500
0.333 0.667 0.250
0.667 0.333 0.750
0.333 0.667 0.750
0.667 0.333 0.250
0.047 0.382 0.643
0.047 0.665 0.857
0.335 0.382 0.857
0.335 0.953 0.643
0.382 0.047 0.143
0.382 0.335 0.357
0.618 0.665 0.643
0.618 0.953 0.857
0.665 0.047 0.357
0.665 0.618 0.143
0.953 0.335 0.143
0.953 0.618 0.357